(1)
A relaxed CdMoRh2 crystal. Source: Alexandria via LeMat-Bulk, functional GGA-PBE.

Summary:
space-group type = F-43m
VASP energy = -6.248 eV/atom
Fermi-level density of states = 1.98 states/eV/atom

Unit cell a=4.4888 b=4.4888 c=4.4888 alpha=60.00 beta=60.00 gamma=60.00
With the nearest neighbours (Å) after each atom.
Sites, in units of the cell vectors:
Cd 0.0000 0.0000 0.0000  4 Mo 2.75, 4 Rh 2.75
Mo 0.7500 0.7500 0.7500  4 Cd 2.75, 4 Rh 2.75
Rh 0.2500 0.2500 0.2500  4 Rh 2.75, 4 Cd 2.75
Rh 0.5000 0.5000 0.5000  4 Mo 2.75, 4 Rh 2.75

---

(2)
A relaxed CdMoRh2 crystal. Source: Alexandria via LeMat-Bulk, functional GGA-PBE.

Summary:
space-group type = Cmmm
VASP energy = -6.556 eV/atom
Fermi-level density of states = 0.87 states/eV/atom

Unit cell a=4.7955 b=4.7955 c=2.8342 alpha=90.00 beta=90.00 gamma=104.65
With the nearest neighbours (Å) after each atom.
Sites, in units of the cell vectors:
Cd 0.0000 0.0000 0.0000  8 Rh 2.79, 2 Cd 2.83, 2 Mo 2.93
Mo 0.5000 0.5000 0.0000  8 Rh 2.79, 2 Mo 2.83, 2 Cd 2.93
Rh 0.0000 0.5000 0.5000  4 Cd 2.79, 4 Mo 2.79, 4 Rh 2.83-2.93
Rh 0.5000 0.0000 0.5000  4 Cd 2.79, 4 Mo 2.79, 4 Rh 2.83-2.93

---

(3)
A relaxed Cd2MoRh crystal. Source: Alexandria via LeMat-Bulk, functional GGA-PBE.

Summary:
distance to the lowest polymorph of the same formula = 36.30 kJ/mol of atoms
space-group type = I4/mmm
Fermi-level density of states = 0.60 states/eV/atom

Unit cell a=5.1434 b=5.1434 c=5.1434 alpha=133.28 beta=133.28 gamma=68.22
With the nearest neighbours (Å) after each atom.
Sites, in units of the cell vectors:
Cd 0.2500 0.7500 0.5000  4 Cd 2.88, 4 Rh 2.95, 4 Mo 2.95
Cd 0.7500 0.2500 0.5000  4 Cd 2.88, 4 Rh 2.95, 4 Mo 2.95
Mo 0.0000 0.0000 0.0000  4 Rh 2.88, 8 Cd 2.95
Rh 0.5000 0.5000 0.0000  4 Mo 2.88, 8 Cd 2.95

---

(4)
A relaxed CdMo2Rh crystal. Source: Alexandria via LeMat-Bulk, functional GGA-PBE.

Summary:
space-group type = F-43m
VASP energy = -7.160 eV/atom
Fermi-level density of states = 1.04 states/eV/atom

Unit cell a=4.5229 b=4.5229 c=4.5229 alpha=60.00 beta=60.00 gamma=60.00
With the nearest neighbours (Å) after each atom.
Sites, in units of the cell vectors:
Cd 0.0000 0.0000 0.0000  4 Mo 2.77, 4 Rh 2.77
Mo 0.2500 0.2500 0.2500  4 Mo 2.77, 4 Cd 2.77
Mo 0.5000 0.5000 0.5000  4 Mo 2.77, 4 Rh 2.77
Rh 0.7500 0.7500 0.7500  4 Mo 2.77, 4 Cd 2.77

---

(5)
A relaxed Cd2MoRh crystal. Source: Alexandria via LeMat-Bulk, functional GGA-PBE.

Summary:
distance to the lowest polymorph of the same formula = 36.91 kJ/mol of atoms
space-group type = P4/mmm
Fermi-level density of states = 1.20 states/eV/atom

Unit cell a=3.9751 b=3.9751 c=4.4464 alpha=90.00 beta=90.00 gamma=90.00
With the nearest neighbours (Å) after each atom.
Sites, in units of the cell vectors:
Cd 0.0000 0.5000 0.0000  4 Cd 2.81, 4 Mo 2.98, 4 Rh 2.98
Cd 0.5000 0.0000 0.0000  4 Cd 2.81, 4 Mo 2.98, 4 Rh 2.98
Mo 0.0000 0.0000 0.5000  4 Rh 2.81, 8 Cd 2.98
Rh 0.5000 0.5000 0.5000  4 Mo 2.81, 8 Cd 2.98

---

(6)
A relaxed Cd2MoRh crystal. Source: Alexandria via LeMat-Bulk, functional GGA-PBE.

Summary:
distance to the lowest polymorph of the same formula = 31.06 kJ/mol of atoms
space-group type = C2/m
Fermi-level density of states = 0.74 states/eV/atom

Unit cell a=5.4753 b=5.4753 c=2.8169 alpha=99.16 beta=99.16 gamma=119.64
With the nearest neighbours (Å) after each atom.
Sites, in units of the cell vectors:
Cd 0.0000 0.5000 0.0000  4 Cd 2.75-2.82, 2 Mo 2.87, 2 Rh 2.87
Cd 0.5000 0.0000 0.0000  4 Cd 2.75-2.82, 2 Mo 2.87, 2 Rh 2.87
Mo 0.0000 0.0000 0.5000  2 Rh 2.75, 2 Mo 2.82, 4 Cd 2.87
Rh 0.5000 0.5000 0.5000  2 Mo 2.75, 2 Rh 2.82, 4 Cd 2.87

---

(7)
A relaxed CdMoRh2 crystal. Source: Alexandria via LeMat-Bulk, functional GGA-PBE.

Summary:
space-group type = Cmm2
VASP energy = -6.377 eV/atom
Fermi-level density of states = 1.04 states/eV/atom

Unit cell a=2.7470 b=2.7470 c=9.2951 alpha=90.00 beta=90.00 gamma=113.44
With the nearest neighbours (Å) after each atom.
Sites, in units of the cell vectors:
Cd 0.0000 0.0000 0.0000  6 Cd 2.75-3.01, 2 Rh 2.77, 2 Mo 2.98
Mo 0.5000 0.5000 0.2763  2 Rh 2.61, 4 Mo 2.75
Rh 0.0000 0.0000 0.5053  2 Mo 2.61, 6 Rh 2.72-2.75
Rh 0.5000 0.5000 0.7494  8 Rh 2.72-3.01, 2 Cd 2.77

---

(8)
A relaxed CdMo2Rh crystal. Source: Alexandria via LeMat-Bulk, functional GGA-PBE.

Summary:
space-group type = Cm
VASP energy = -7.236 eV/atom
Fermi-level density of states = 0.80 states/eV/atom

Unit cell a=4.9080 b=4.9080 c=5.0704 alpha=98.97 beta=98.97 gamma=32.84
With the nearest neighbours (Å) after each atom.
Sites, in units of the cell vectors:
Cd 0.0000 0.0000 0.0000  2 Cd 2.77, 3 Rh 2.80-2.89, 7 Mo 2.84-2.97
Mo 0.2390 0.2390 0.7231  5 Mo 2.75-2.85, 4 Rh 2.79-3.00, 3 Cd 2.84-2.97
Mo 0.4841 0.4841 0.4928  2 Rh 2.68, 5 Mo 2.75-2.85, 4 Cd 2.88-2.90
Rh 0.7563 0.7563 0.2510  6 Mo 2.68-3.00, 2 Rh 2.77, 3 Cd 2.80-2.89

---

(9)
A relaxed CdMo2Rh crystal. Source: Alexandria via LeMat-Bulk, functional GGA-PBE.

Summary:
space-group type = R-3m
VASP energy = -7.257 eV/atom
Fermi-level density of states = 1.22 states/eV/atom

Unit cell a=9.7076 b=9.7076 c=9.7076 alpha=16.64 beta=16.64 gamma=16.64
With the nearest neighbours (Å) after each atom.
Sites, in units of the cell vectors:
Cd 0.0000 0.0000 0.0000  6 Cd 2.81, 6 Mo 3.04
Mo 0.2438 0.2438 0.2438  3 Rh 2.74, 6 Mo 2.81, 3 Cd 3.04
Mo 0.7562 0.7562 0.7562  3 Rh 2.74, 6 Mo 2.81, 3 Cd 3.04
Rh 0.5000 0.5000 0.5000  6 Mo 2.74, 6 Rh 2.81

---

(10)
A relaxed Cd2MoRh crystal. Source: Alexandria via LeMat-Bulk, functional GGA-PBE.

Summary:
distance to the lowest polymorph of the same formula = 24.17 kJ/mol of atoms
space-group type = Imm2
Fermi-level density of states = 0.67 states/eV/atom

Unit cell a=5.7883 b=5.7883 c=5.7883 alpha=151.08 beta=129.40 gamma=59.33
With the nearest neighbours (Å) after each atom.
Sites, in units of the cell vectors:
Cd 0.0000 0.0000 0.0000  4 Rh 2.88, 4 Cd 2.89-3.14, 2 Mo 3.02
Cd 0.7226 0.2226 0.5000  2 Rh 2.88, 4 Cd 2.89-3.14, 4 Mo 2.89
Mo 0.2639 0.7639 0.5000  2 Rh 2.57
Rh 0.4747 0.4747 0.0000  2 Mo 2.57

---

(11)
A relaxed Cd2MoRh crystal. Source: Alexandria via LeMat-Bulk, functional GGA-PBE.

Summary:
distance to the lowest polymorph of the same formula = 0.00 kJ/mol of atoms
space-group type = P4mm
Fermi-level density of states = 0.94 states/eV/atom

Unit cell a=2.9243 b=2.9243 c=8.3154 alpha=90.00 beta=90.00 gamma=90.00
With the nearest neighbours (Å) after each atom.
Sites, in units of the cell vectors:
Cd 0.0000 0.0000 0.0000  4 Rh 2.91, 8 Cd 2.92-3.21
Cd 0.5000 0.5000 0.2950  8 Cd 2.92-3.21, 4 Mo 3.00
Mo 0.0000 0.0000 0.5561  4 Rh 2.64, 4 Mo 2.92
Rh 0.5000 0.5000 0.7533  4 Mo 2.64, 4 Cd 2.91, 4 Rh 2.92

---

(12)
A relaxed CdMoRh2 crystal. Source: Alexandria via LeMat-Bulk, functional GGA-PBE.

Summary:
space-group type = P4/mmm
VASP energy = -6.488 eV/atom
Fermi-level density of states = 1.39 states/eV/atom

Unit cell a=4.6987 b=4.6987 c=2.8904 alpha=90.00 beta=90.00 gamma=90.00
With the nearest neighbours (Å) after each atom.
Sites, in units of the cell vectors:
Cd 0.0000 0.0000 0.0000  8 Rh 2.76, 2 Cd 2.89
Mo 0.5000 0.5000 0.0000  8 Rh 2.76, 2 Mo 2.89
Rh 0.0000 0.5000 0.5000  4 Cd 2.76, 4 Mo 2.76, 2 Rh 2.89
Rh 0.5000 0.0000 0.5000  4 Cd 2.76, 4 Mo 2.76, 2 Rh 2.89

---

(13)
A relaxed CdMoRh2 crystal. Source: Alexandria via LeMat-Bulk, functional GGA-PBE.

Summary:
space-group type = Cm
VASP energy = -6.582 eV/atom
Fermi-level density of states = 0.77 states/eV/atom

Unit cell a=4.9721 b=4.9721 c=4.7839 alpha=100.85 beta=100.85 gamma=33.13
With the nearest neighbours (Å) after each atom.
Sites, in units of the cell vectors:
Cd 0.0000 0.0000 0.0000  7 Rh 2.72-2.82, 2 Cd 2.84, 1 Mo 2.93
Mo 0.2329 0.2329 0.6801  7 Rh 2.67-2.87, 2 Mo 2.84, 1 Cd 2.93
Rh 0.4943 0.4943 0.5024  3 Mo 2.67-2.79, 4 Cd 2.76-2.80, 4 Rh 2.82-2.84
Rh 0.7545 0.7545 0.2082  4 Mo 2.71-2.87, 3 Cd 2.72-2.82, 4 Rh 2.82-2.84

---

(14)
A relaxed Cd2MoRh crystal. Source: Alexandria via LeMat-Bulk, functional GGA-PBE.

Summary:
distance to the lowest polymorph of the same formula = 42.34 kJ/mol of atoms
space-group type = Fm-3m
Fermi-level density of states = 1.14 states/eV/atom

Unit cell a=4.6331 b=4.6331 c=4.6331 alpha=60.00 beta=60.00 gamma=60.00
With the nearest neighbours (Å) after each atom.
Sites, in units of the cell vectors:
Cd 0.2500 0.2500 0.2500  4 Rh 2.84, 4 Mo 2.84
Cd 0.7500 0.7500 0.7500  4 Rh 2.84, 4 Mo 2.84
Mo 0.0000 0.0000 0.0000  8 Cd 2.84
Rh 0.5000 0.5000 0.5000  8 Cd 2.84

---

(15)
A relaxed Cd2MoRh crystal. Source: Alexandria via LeMat-Bulk, functional GGA-PBE.

Summary:
distance to the lowest polymorph of the same formula = 32.44 kJ/mol of atoms
space-group type = Cmmm
Fermi-level density of states = 1.06 states/eV/atom

Unit cell a=5.2364 b=5.2364 c=2.8372 alpha=90.00 beta=90.00 gamma=116.30
With the nearest neighbours (Å) after each atom.
Sites, in units of the cell vectors:
Cd 0.0000 0.5000 0.0000  4 Cd 2.76-2.84, 4 Rh 2.98, 4 Mo 2.98
Cd 0.5000 0.0000 0.0000  4 Cd 2.76-2.84, 4 Rh 2.98, 4 Mo 2.98
Mo 0.0000 0.0000 0.5000  2 Rh 2.76, 2 Mo 2.84, 8 Cd 2.98
Rh 0.5000 0.5000 0.5000  2 Mo 2.76, 2 Rh 2.84, 8 Cd 2.98